No. 1
Below is a geometry-optimized HfHRu2S structure, with properties calculated at the GGA-PBE level.

Geometry as POSCAR:
```
HfHRu2S
1.0
-3.061 -0.910 3.365
-1.929 -1.422 -2.139
2.096 -4.059 0.809
Ru H S Hf
2 1 1 1
direct
0.000 0.000 0.500 Ru
0.500 0.000 0.000 Ru
0.000 0.500 0.000 H
0.000 0.000 0.000 S
0.500 0.500 0.500 Hf
```

Properties
- Uncorrected energy: -35.281 eV per cell

No. 2
Below is a geometry-optimized Pm2SmPb2 structure, with properties calculated at the GGA-PBE level.

Geometry as POSCAR:
```
Pm2SmPb2
1.0
4.757 0.000 0.000
2.378 5.213 0.114
2.378 0.454 6.199
Sm Pb Pm
1 2 2
direct
0.000 0.000 0.000 Sm
0.428 0.365 0.780 Pb
0.572 0.635 0.220 Pb
0.810 0.764 0.615 Pm
0.190 0.236 0.385 Pm
```

Properties
- Excess energy over the best structure of this formula in the dataset: 0.00 kcal/mol of atoms
- Formation enthalpy at 0 K: -41 kJ/mol of atoms

No. 3
Below is a geometry-optimized Na2PdF4 structure, with properties calculated at the GGA-PBE level.

Geometry as POSCAR:
```
Na2PdF4
1.0
-5.655 -3.516 0.707
2.791 -4.673 -0.916
3.518 1.123 4.990
Na F Pd
4 8 2
direct
0.597 0.750 0.000 Na
0.089 0.250 0.408 Na
0.911 0.750 0.592 Na
0.403 0.250 0.000 Na
0.786 0.250 0.040 F
0.401 0.005 0.659 F
0.599 0.995 0.341 F
0.214 0.750 0.960 F
0.401 0.495 0.659 F
0.016 0.250 0.729 F
0.984 0.750 0.271 F
0.599 0.505 0.341 F
0.692 0.250 0.679 Pd
0.308 0.750 0.321 Pd
```

Properties
- Excess energy over the best structure of this formula in the dataset: 5.49 kcal/mol of atoms
- E_form (uncorrected): -1.885 eV per atom

No. 4
Below is a geometry-optimized CsHfTe3 structure, with properties calculated at the GGA-PBE level.

Geometry as POSCAR:
```
CsHfTe3
1.0
-3.966 -3.921 -1.164
-0.045 -1.580 5.474
-4.090 3.820 1.069
Te Cs Hf
3 1 1
direct
0.000 0.500 0.000 Te
0.000 0.000 0.500 Te
0.500 0.000 0.000 Te
0.500 0.500 0.500 Cs
0.000 0.000 0.000 Hf
```

Properties
- Excess energy over the best structure of this formula in the dataset: 0.48 kcal/mol of atoms
- E_form (uncorrected): -0.750 eV per atom

No. 5
Below is a geometry-optimized DyNi4C structure, with properties calculated at the GGA-PBE level.

Geometry as POSCAR:
```
DyNi4C
1.0
-0.820 -2.894 1.690
5.684 -0.243 2.341
-2.058 3.727 5.384
Ni Dy C
8 2 2
direct
0.500 0.289 0.934 Ni
0.500 0.711 0.434 Ni
0.500 0.289 0.566 Ni
0.000 0.000 0.500 Ni
0.500 0.042 0.250 Ni
0.500 0.711 0.066 Ni
0.500 0.958 0.750 Ni
0.000 0.000 0.000 Ni
0.000 0.411 0.250 Dy
0.000 0.589 0.750 Dy
0.000 0.147 0.750 C
0.000 0.853 0.250 C
```

Properties
- Formation enthalpy at 0 K: -6 kJ/mol of atoms

No. 6
Below is a geometry-optimized Zr2NpIn structure, with properties calculated at the GGA-PBE level.

Geometry as POSCAR:
```
Zr2NpIn
1.0
-0.497 -2.879 -2.916
-2.668 -2.517 2.940
-3.828 2.239 -1.557
Np Zr In
1 2 1
direct
0.500 0.000 0.000 Np
0.000 0.000 0.500 Zr
0.000 0.500 0.000 Zr
0.500 0.500 0.500 In
```

Properties
- Excess energy over the best structure of this formula in the dataset: 0.00 kcal/mol of atoms
- Formation enthalpy at 0 K: 3 kJ/mol of atoms